# 1
# MnInTeI2 PBE optimized geometry
# Excess energy over the best structure of this formula in the dataset, eV per atom: 0.000
# ρ, g/cm3: 5.30
# ΔE_f (raw), eV per atom: -0.123
# Total moment, Bohr magnetons per cell: 4.2
data_MnInTeI2
_cell_length_a 5.6723
_cell_length_b 5.6723
_cell_length_c 5.3697
_cell_angle_alpha 90.00
_cell_angle_beta 90.00
_cell_angle_gamma 90.00
_space_group_name_H-M_alt 'P 4/m m m'
_space_group_IT_number 123
_space_group_name_Hall '-P 4 2'
loop_
_atom_site_label
_atom_site_type_symbol
_atom_site_fract_x
_atom_site_fract_y
_atom_site_fract_z
Mn1 Mn 0.0000 0.0000 0.0000
In1 In 0.5000 0.5000 0.5000
Te1 Te 0.0000 0.0000 0.5000
I1 I 0.0000 0.5000 0.0000

***

# 2
# MnTl3In3I8 PBE optimized geometry
# ρ, g/cm3: 4.99
# ΔE_f (raw), eV per atom: -0.524
# Total moment, Bohr magnetons per cell: 14.9
data_MnTl3In3I8
_cell_length_a 9.8303
_cell_length_b 9.8303
_cell_length_c 24.2040
_cell_angle_alpha 90.00
_cell_angle_beta 90.00
_cell_angle_gamma 120.00
_space_group_name_H-M_alt 'R -3 m'
_space_group_IT_number 166
_space_group_name_Hall '-R 3 2"'
loop_
_atom_site_label
_atom_site_type_symbol
_atom_site_fract_x
_atom_site_fract_y
_atom_site_fract_z
Mn1 Mn 0.0000 0.0000 0.0000
Tl1 Tl 0.0000 0.5000 0.5000
In1 In 0.0000 0.5000 0.0000
I1 I 0.0000 0.0000 0.2512
I2 I 0.0489 0.5244 0.7368

***

# 3
# MnTl2InI6 PBE optimized geometry
# ρ, g/cm3: 5.44
# ΔE_f (raw), eV per atom: -0.490
# Total moment, Bohr magnetons per cell: 12.8
data_MnTl2InI6
_cell_length_a 8.2645
_cell_length_b 8.2645
_cell_length_c 20.7579
_cell_angle_alpha 90.00
_cell_angle_beta 90.00
_cell_angle_gamma 120.00
_space_group_name_H-M_alt 'R 3'
_space_group_IT_number 146
_space_group_name_Hall 'R 3'
loop_
_atom_site_label
_atom_site_type_symbol
_atom_site_fract_x
_atom_site_fract_y
_atom_site_fract_z
Mn1 Mn 0.0000 0.0000 0.0000
Tl1 Tl 0.0000 0.0000 0.2924
Tl2 Tl 0.0000 0.0000 0.7895
In1 In 0.0000 0.0000 0.5015
I1 I 0.0140 0.4272 0.7432
I2 I 0.0958 0.7421 0.5843

***

# 4
# MnTlInI4 PBE optimized geometry
# ρ, g/cm3: 4.92
# ΔE_f (raw), eV per atom: -0.506
# Total moment, Bohr magnetons per cell: 10.0
data_MnTlInI4
_cell_length_a 7.9517
_cell_length_b 8.2430
_cell_length_c 9.5280
_cell_angle_alpha 90.00
_cell_angle_beta 107.75
_cell_angle_gamma 90.00
_space_group_name_H-M_alt 'P 1 21/m 1'
_space_group_IT_number 11
_space_group_name_Hall '-P 2yb'
loop_
_atom_site_label
_atom_site_type_symbol
_atom_site_fract_x
_atom_site_fract_y
_atom_site_fract_z
Mn1 Mn 0.2304 0.2500 0.3017
Tl1 Tl 0.2276 0.7500 0.5557
In1 In 0.2371 0.7500 0.0605
I1 I 0.0012 0.5024 0.2372
I2 I 0.4181 0.2500 0.5877
I3 I 0.4280 0.2500 0.1191

***

# 5
# YMn2InI PBE optimized geometry
# ρ, g/cm3: 4.12
# ΔE_f (raw), eV per atom: 1.097
# Total moment, Bohr magnetons per cell: 7.1
data_YMn2InI
_cell_length_a 5.3676
_cell_length_b 5.3676
_cell_length_c 6.1622
_cell_angle_alpha 90.00
_cell_angle_beta 90.00
_cell_angle_gamma 90.00
_space_group_name_H-M_alt 'P 4/m m m'
_space_group_IT_number 123
_space_group_name_Hall '-P 4 2'
loop_
_atom_site_label
_atom_site_type_symbol
_atom_site_fract_x
_atom_site_fract_y
_atom_site_fract_z
Y1 Y 0.0000 0.0000 0.0000
Mn1 Mn 0.0000 0.5000 0.0000
In1 In 0.0000 0.0000 0.5000
I1 I 0.5000 0.5000 0.5000

***

# 6
# In3MoI PBE optimized geometry
# Excess energy over the best structure of this formula in the dataset, eV per atom: 0.000
# ρ, g/cm3: 5.63
# ΔE_f (raw), eV per atom: 0.460
# Total moment, Bohr magnetons per cell: 3.0
data_In3MoI
_cell_length_a 5.5113
_cell_length_b 5.5113
_cell_length_c 5.5113
_cell_angle_alpha 90.00
_cell_angle_beta 90.00
_cell_angle_gamma 90.00
_space_group_name_H-M_alt 'P m -3 m'
_space_group_IT_number 221
_space_group_name_Hall '-P 4 2 3'
loop_
_atom_site_label
_atom_site_type_symbol
_atom_site_fract_x
_atom_site_fract_y
_atom_site_fract_z
In1 In 0.0000 0.0000 0.5000
Mo1 Mo 0.0000 0.0000 0.0000
I1 I 0.5000 0.5000 0.5000

***

# 7
# In2MoI PBE optimized geometry
# ρ, g/cm3: 7.81
# ΔE_f (raw), eV per atom: 1.083
# Total moment, Bohr magnetons per cell: 0.0
data_In2MoI
_cell_length_a 7.2742
_cell_length_b 7.2742
_cell_length_c 7.2742
_cell_angle_alpha 90.00
_cell_angle_beta 90.00
_cell_angle_gamma 90.00
_space_group_name_H-M_alt 'F m -3 m'
_space_group_IT_number 225
_space_group_name_Hall '-F 4 2 3'
loop_
_atom_site_label
_atom_site_type_symbol
_atom_site_fract_x
_atom_site_fract_y
_atom_site_fract_z
In1 In 0.2500 0.2500 0.2500
Mo1 Mo 0.0000 0.0000 0.0000
I1 I 0.0000 0.0000 0.5000

***

# 8
# In3MoI PBE optimized geometry
# Excess energy over the best structure of this formula in the dataset, eV per atom: 0.903
# ρ, g/cm3: 3.95
# ΔE_f (raw), eV per atom: 1.363
# Total moment, Bohr magnetons per cell: 4.8
data_In3MoI
_cell_length_a 6.1991
_cell_length_b 6.1991
_cell_length_c 6.1991
_cell_angle_alpha 90.00
_cell_angle_beta 90.00
_cell_angle_gamma 90.00
_space_group_name_H-M_alt 'P m -3 m'
_space_group_IT_number 221
_space_group_name_Hall '-P 4 2 3'
loop_
_atom_site_label
_atom_site_type_symbol
_atom_site_fract_x
_atom_site_fract_y
_atom_site_fract_z
In1 In 0.0000 0.0000 0.5000
Mo1 Mo 0.5000 0.5000 0.5000
I1 I 0.0000 0.0000 0.0000

***

# 9
# InMoIN2 PBE optimized geometry
# Excess energy over the best structure of this formula in the dataset, eV per atom: 1.276
# ρ, g/cm3: 4.83
# ΔE_f (raw), eV per atom: 1.944
# Total moment, Bohr magnetons per cell: 7.2
data_InMoIN2
_cell_length_a 4.2221
_cell_length_b 4.2221
_cell_length_c 7.0550
_cell_angle_alpha 90.00
_cell_angle_beta 90.00
_cell_angle_gamma 90.00
_space_group_name_H-M_alt 'P 4/m m m'
_space_group_IT_number 123
_space_group_name_Hall '-P 4 2'
loop_
_atom_site_label
_atom_site_type_symbol
_atom_site_fract_x
_atom_site_fract_y
_atom_site_fract_z
In1 In 0.0000 0.0000 0.0000
Mo1 Mo 0.5000 0.5000 0.5000
I1 I 0.0000 0.0000 0.5000
N1 N 0.0000 0.5000 0.0000

***

# 10
# InMoIN2 PBE optimized geometry
# Excess energy over the best structure of this formula in the dataset, eV per atom: 0.000
# ρ, g/cm3: 6.21
# ΔE_f (raw), eV per atom: 0.668
# Total moment, Bohr magnetons per cell: 0.0
data_InMoIN2
_cell_length_a 4.0942
_cell_length_b 4.0942
_cell_length_c 5.8367
_cell_angle_alpha 90.00
_cell_angle_beta 90.00
_cell_angle_gamma 90.00
_space_group_name_H-M_alt 'P 4/m m m'
_space_group_IT_number 123
_space_group_name_Hall '-P 4 2'
loop_
_atom_site_label
_atom_site_type_symbol
_atom_site_fract_x
_atom_site_fract_y
_atom_site_fract_z
In1 In 0.0000 0.0000 0.0000
Mo1 Mo 0.5000 0.5000 0.5000
I1 I 0.5000 0.5000 0.0000
N1 N 0.0000 0.5000 0.5000